Material: NiBiO2
Method: DFT, PBE+U
State: optimized geometry

CIF file:
```
data_NiBiO2
_chemical_formula_sum 'Ni3 Bi3 O6'
_cell_length_a 3.1948
_cell_length_b 3.1948
_cell_length_c 19.2118
_cell_angle_alpha 90.00
_cell_angle_beta 90.00
_cell_angle_gamma 120.00
_symmetry_space_group_name_H-M 'R -3 m'
_symmetry_Int_Tables_number 166
_symmetry_space_group_name_Hall '-R 3 2"'
loop_
_atom_site_label
_atom_site_fract_x
_atom_site_fract_y
_atom_site_fract_z
Ni1 0.0000 0.0000 0.0000
Bi1 0.0000 0.0000 0.5000
O1 0.0000 0.0000 0.3852
```

Summary:
**V**: 170 Å³/cell
**Final energy**: -4.80 eV per atom
**Crystal system**: trigonal